! ZrU3S6 | Alexandria via LeMat-Bulk | PBE | relaxed; values from VASP
! Fermi-level density of states = 1.61 states/eV/atom
! ρ = 8183 kg/m3
! Size of the total moment = 0.76 μB/atom
! Space-group type = Pmc2_1, No. 26
! E = -8.169 eV per atom
! ΔE to the lowest computed polymorph = 0.000 eV per atom
&SYSTEM
  ibrav = 0, nat = 20, ntyp = 3
/
ATOMIC_SPECIES
S 32.06 S.upf
U 238.03 U.upf
Zr 91.22 Zr.upf
CELL_PARAMETERS angstrom
3.695 0.000 0.000
0.000 10.397 0.000
0.000 0.000 10.541
ATOMIC_POSITIONS crystal
S 0.000 0.560 0.370
U 0.000 0.312 0.256
S 0.000 0.060 0.630
U 0.000 0.812 0.744
S 0.500 0.452 0.118
S 0.500 0.779 0.556
S 0.500 0.952 0.882
U 0.000 0.984 0.073
S 0.500 0.123 0.198
S 0.000 0.363 0.695
S 0.500 0.279 0.444
S 0.000 0.724 0.042
U 0.500 0.512 0.562
Zr 0.500 0.691 0.221
U 0.500 0.012 0.438
S 0.500 0.623 0.802
Zr 0.500 0.191 0.779
S 0.000 0.224 0.958
U 0.000 0.484 0.927
S 0.000 0.863 0.305